No. 1
{"formula": "Y2TiHgO", "functional": "PBE-GGA", "state": "relaxed", "cell": [[4.908, 0.000, 0.000], [0.000, 4.908, 0.000], [0.000, 0.000, 4.100]], "species": ["Y", "Y", "O", "Ti", "Hg"], "frac_coords": [[0.500, 0.000, 0.000], [0.000, 0.500, 0.000], [0.000, 0.000, 0.000], [0.000, 0.000, 0.500], [0.500, 0.500, 0.500]], "n_ef_per_ev_cell": 3.83, "e_form_raw_mev_per_atom": -1275, "crystal_system": "tetragonal"}

No. 2
{"formula": "YTi2HgO", "functional": "PBE-GGA", "state": "relaxed", "cell": [[-3.987, 1.387, 0.538], [-0.408, -2.500, 3.420], [1.586, 3.496, 2.745]], "species": ["Ti", "Ti", "O", "Y", "Hg"], "frac_coords": [[0.000, 0.500, 0.000], [0.500, 0.000, 0.000], [0.000, 0.000, 0.000], [0.000, 0.000, 0.500], [0.500, 0.500, 0.500]], "n_ef_per_ev_cell": 3.64, "e_form_raw_mev_per_atom": -1118, "crystal_system": "tetragonal"}

No. 3
{"formula": "Zr2TiHgO", "functional": "PBE-GGA", "state": "relaxed", "cell": [[4.601, 0.000, 0.000], [0.000, 4.601, 0.000], [0.000, 0.000, 4.046]], "species": ["O", "Hg", "Zr", "Zr", "Ti"], "frac_coords": [[0.000, 0.000, 0.000], [0.500, 0.500, 0.500], [0.000, 0.500, 0.000], [0.500, 0.000, 0.000], [0.000, 0.000, 0.500]], "n_ef_per_ev_cell": 3.91, "e_form_raw_mev_per_atom": -1117, "crystal_system": "tetragonal"}

No. 4
{"formula": "Tl4HgO2", "functional": "PBE-GGA", "state": "relaxed", "cell": [[3.704, -0.045, -0.018], [-1.870, 7.749, -1.395], [-0.028, 0.574, 7.654]], "species": ["O", "O", "Tl", "Tl", "Tl", "Tl", "Hg"], "frac_coords": [[0.684, 0.371, 0.607], [0.316, 0.629, 0.393], [0.144, 0.303, 0.404], [0.665, 0.332, 0.885], [0.856, 0.697, 0.596], [0.335, 0.668, 0.115], [0.000, 0.000, 0.000]], "n_ef_per_ev_cell": 2.62, "e_form_raw_mev_per_atom": -400, "crystal_system": "triclinic"}

Total magnetization, record by record: 0.308; 0.204; 0.000; 0.000 μB/atom
Raw total energy, record by record: -6.4914; -6.6212; -7.1673; -3.2122 eV per atom